[1]
The following is a DFT calculation (GGA-PBE) of crystalline MgTl2Cl at its relaxed geometry.

a = 3.4825 Å, b = 3.4825 Å, c = 10.1840 Å
α = 90.00°, β = 90.00°, γ = 114.46°
With the nearest neighbours (Å) after each atom.
Sites, in units of the cell vectors:
1 Mg 0.0000 0.0000 0.0000  2 Cl 2.45
2 Tl 0.0000 0.0000 0.5121  8 Tl 3.37-3.77
3 Tl 0.5000 0.5000 0.2375  2 Mg 3.07, 2 Tl 3.37
4 Cl 0.5000 0.5000 0.8456  2 Mg 2.45

Calculated values
offset from the most stable computed form: 0.00 eV/f.u.
E_tot: -0.1890 Ry/atom
DOS(E_F): 0.14 states/eV/atom
E_form (uncorrected): -0.528 eV/atom

***

[2]
The following is a DFT calculation (GGA-PBE) of crystalline PtAu at its relaxed geometry.

a = 9.6815 Å, b = 9.6815 Å, c = 9.6815 Å
α = 16.92°, β = 16.92°, γ = 16.92°
With the nearest neighbours (Å) after each atom.
Sites, in units of the cell vectors:
1 Pt 0.1264 0.1264 0.1264  9 Pt 2.83-2.85, 3 Au 2.89
2 Pt 0.8736 0.8736 0.8736  9 Pt 2.83-2.85, 3 Au 2.89
3 Au 0.3766 0.3766 0.3766  9 Au 2.85-2.98, 3 Pt 2.89
4 Au 0.6234 0.6234 0.6234  9 Au 2.85-2.98, 3 Pt 2.89

Calculated values
ΔH_f (0 K): 0.01 eV per atom
E_tot: -0.3416 Ry/atom
DOS(E_F): 1.20 states/eV/atom

***

[3]
The following is a DFT calculation (GGA-PBE) of crystalline LiTc2O at its relaxed geometry.

a = 5.4167 Å, b = 5.4167 Å, c = 5.4167 Å
α = 97.58°, β = 97.58°, γ = 137.42°
With the nearest neighbours (Å) after each atom.
Sites, in units of the cell vectors:
1 Li 0.0000 0.0000 0.0000  2 O 1.97
2 Li 0.7500 0.2500 0.5000  2 O 1.97
3 Tc 0.2210 0.6250 0.0960  2 O 2.15, 2 Tc 2.40
4 Tc 0.3750 0.4710 0.5960  2 O 2.15, 2 Tc 2.40
5 Tc 0.5290 0.1250 0.9040  2 O 2.15, 2 Tc 2.40
6 Tc 0.8750 0.7790 0.4040  2 O 2.15, 2 Tc 2.40
7 O 0.2500 0.7500 0.5000  2 Li 1.97, 4 Tc 2.15
8 O 0.5000 0.5000 0.0000  2 Li 1.97, 4 Tc 2.15

Calculated values
E_tot: -0.5183 Ry/atom
DOS(E_F): 0.66 states/eV/atom
E_form (uncorrected): -0.151 eV/atom

***

[4]
The following is a DFT calculation (GGA-PBE) of crystalline KCu3Sb3 at its relaxed geometry.

a = 10.3640 Å, b = 10.3640 Å, c = 10.3640 Å
α = 36.00°, β = 36.00°, γ = 36.00°
With the nearest neighbours (Å) after each atom.
Sites, in units of the cell vectors:
1 K 0.1841 0.1841 0.1841  6 Sb 3.49-3.76, 3 K 3.83
2 K 0.8159 0.8159 0.8159  6 Sb 3.49-3.76, 3 K 3.83
3 Cu 0.0917 0.2848 0.5632  5 Cu 2.47-2.66, 3 Sb 2.61-2.73
4 Cu 0.2848 0.5632 0.0917  5 Cu 2.47-2.66, 3 Sb 2.61-2.73
5 Cu 0.4368 0.9083 0.7152  5 Cu 2.47-2.66, 3 Sb 2.61-2.73
6 Cu 0.5632 0.0917 0.2848  5 Cu 2.47-2.66, 3 Sb 2.61-2.73
7 Cu 0.7152 0.4368 0.9083  5 Cu 2.47-2.66, 3 Sb 2.61-2.73
8 Cu 0.9083 0.7152 0.4368  5 Cu 2.47-2.66, 3 Sb 2.61-2.73
9 Sb 0.1507 0.3170 0.7485  3 Cu 2.61-2.73
10 Sb 0.2515 0.8493 0.6830  3 Cu 2.61-2.73
11 Sb 0.3170 0.7485 0.1507  3 Cu 2.61-2.73
12 Sb 0.6830 0.2515 0.8493  3 Cu 2.61-2.73
13 Sb 0.7485 0.1507 0.3170  3 Cu 2.61-2.73
14 Sb 0.8493 0.6830 0.2515  3 Cu 2.61-2.73

Calculated values
offset from the most stable computed form: 0.00 eV/f.u.
E_tot: -0.2783 Ry/atom
DOS(E_F): 0.16 states/eV/atom
E_form (uncorrected): -0.107 eV/atom

***

[5]
The following is a DFT calculation (GGA-PBE) of crystalline TlCl2O2 at its relaxed geometry.

a = 13.5321 Å, b = 13.5321 Å, c = 13.5321 Å
α = 161.65°, β = 161.65°, γ = 26.06°
With the nearest neighbours (Å) after each atom.
Sites, in units of the cell vectors:
1 Tl 0.3750 0.6250 0.7500  4 O 2.25
2 Tl 0.6250 0.3750 0.2500  4 O 2.25
3 Cl 0.1958 0.4458 0.7500  1 O 2.52
4 Cl 0.4458 0.1958 0.2500  1 O 2.52
5 Cl 0.5542 0.8042 0.7500  1 O 2.52
6 Cl 0.8042 0.5542 0.2500  1 O 2.52
7 O 0.1004 0.3504 0.7500  2 Tl 2.25, 1 Cl 2.52
8 O 0.3504 0.1004 0.2500  2 Tl 2.25, 1 Cl 2.52
9 O 0.6496 0.8996 0.7500  2 Tl 2.25, 1 Cl 2.52
10 O 0.8996 0.6496 0.2500  2 Tl 2.25, 1 Cl 2.52

Calculated values
E_tot: -0.2077 Ry/atom
DOS(E_F): 1.00 states/eV/atom
E_form (uncorrected): 0.369 eV/atom

***

[6]
The following is a DFT calculation (GGA-PBE) of crystalline TbNdInAu at its relaxed geometry.

a = 5.3223 Å, b = 5.3223 Å, c = 5.3223 Å
α = 60.00°, β = 60.00°, γ = 60.00°
With the nearest neighbours (Å) after each atom.
Sites, in units of the cell vectors:
1 Tb 0.0000 0.0000 0.0000  4 In 3.26, 4 Au 3.26
2 Nd 0.5000 0.5000 0.5000  4 In 3.26, 4 Au 3.26
3 In 0.2500 0.2500 0.2500  4 Tb 3.26, 4 Nd 3.26
4 Au 0.7500 0.7500 0.7500  4 Nd 3.26, 4 Tb 3.26

Calculated values
ΔH_f (0 K): -0.58 eV per atom
offset from the most stable computed form: 0.30 eV/f.u.
E_tot: -0.3256 Ry/atom
DOS(E_F): 1.09 states/eV/atom

***

[7]
The following is a DFT calculation (GGA-PBE) of crystalline Ag5HgI8 at its relaxed geometry.

a = 8.8341 Å, b = 8.8341 Å, c = 8.8341 Å
α = 60.00°, β = 60.00°, γ = 60.00°
With the nearest neighbours (Å) after each atom.
Sites, in units of the cell vectors:
1 Ag 0.0000 0.0000 0.0000  4 I 2.84
2 Ag 0.1147 0.6284 0.6284  6 I 3.01-3.07
3 Ag 0.6284 0.1147 0.6284  6 I 3.01-3.07
4 Ag 0.6284 0.6284 0.1147  6 I 3.01-3.07
5 Ag 0.6284 0.6284 0.6284  6 I 3.01-3.07
6 Hg 0.2500 0.2500 0.2500  4 I 2.89
7 I 0.3834 0.3834 0.3834  1 Hg 2.89, 3 Ag 3.07
8 I 0.3834 0.3834 0.8499  1 Hg 2.89, 3 Ag 3.07
9 I 0.3834 0.8499 0.3834  1 Hg 2.89, 3 Ag 3.07
10 I 0.3931 0.8690 0.8690  4 Ag 2.84-3.01
11 I 0.8499 0.3834 0.3834  1 Hg 2.89, 3 Ag 3.07
12 I 0.8690 0.3931 0.8690  4 Ag 2.84-3.01
13 I 0.8690 0.8690 0.3931  4 Ag 2.84-3.01
14 I 0.8690 0.8690 0.8690  4 Ag 2.84-3.01

Calculated values
E_tot: -0.1553 Ry/atom
DOS(E_F): 0.86 states/eV/atom
E_form (uncorrected): -0.187 eV/atom

***

[8]
The following is a DFT calculation (GGA-PBE) of crystalline Tm3CoPt at its relaxed geometry.

a = 8.4354 Å, b = 7.5176 Å, c = 7.5921 Å
α = 90.00°, β = 116.16°, γ = 90.00°
With the nearest neighbours (Å) after each atom.
Sites, in units of the cell vectors:
1 Tm 0.0232 0.0346 0.2137  3 Co 2.73-2.78, 1 Pt 3.02
2 Tm 0.0232 0.4654 0.7137  3 Co 2.73-2.78, 1 Pt 3.02
3 Tm 0.2865 0.1152 0.6903  2 Co 2.70-2.94, 1 Pt 2.79
4 Tm 0.2865 0.3848 0.1903  2 Co 2.70-2.94, 1 Pt 2.79
5 Tm 0.3743 0.7227 0.9205  3 Pt 2.84-3.13, 2 Co 2.88-2.92
6 Tm 0.3743 0.7773 0.4205  3 Pt 2.84-3.13, 2 Co 2.88-2.92
7 Tm 0.6257 0.2227 0.5795  3 Pt 2.84-3.13, 2 Co 2.88-2.92
8 Tm 0.6257 0.2773 0.0795  3 Pt 2.84-3.13, 2 Co 2.88-2.92
9 Tm 0.7135 0.6152 0.8097  2 Co 2.70-2.94, 1 Pt 2.79
10 Tm 0.7135 0.8848 0.3097  2 Co 2.70-2.94, 1 Pt 2.79
11 Tm 0.9768 0.5346 0.2863  3 Co 2.73-2.78, 1 Pt 3.02
12 Tm 0.9768 0.9654 0.7863  3 Co 2.73-2.78, 1 Pt 3.02
13 Co 0.0945 0.6812 0.0371  7 Tm 2.70-2.94
14 Co 0.0945 0.8188 0.5371  7 Tm 2.70-2.94
15 Co 0.9055 0.1812 0.4629  7 Tm 2.70-2.94
16 Co 0.9055 0.3188 0.9629  7 Tm 2.70-2.94
17 Pt 0.3407 0.0329 0.1143  7 Tm 2.79-3.11
18 Pt 0.3407 0.4671 0.6143  7 Tm 2.79-3.11
19 Pt 0.6593 0.5329 0.3857  7 Tm 2.79-3.11
20 Pt 0.6593 0.9671 0.8857  7 Tm 2.79-3.11

Calculated values
ΔH_f (0 K): -0.63 eV per atom
E_tot: -0.4368 Ry/atom
DOS(E_F): 0.74 states/eV/atom